1.
Density functional theory data (SCAN) for a crystal of CrAgRh2 relaxed with PBEsol.

The total energy comes out at -29.083 eV per atom.

The space group is C2/m (No. 12) and the conventional cell measures 5.357, 8.936 and 2.703 Å, with angles of 90.00, 117.63 and 90.00 degrees. The distinct sites, in fractional coordinates, are Cr at (0.000, 0.000, 0.000), Ag at (0.000, 0.500, 0.000) and Rh at (0.250, 0.250, 0.500).

2.
Density functional theory data (SCAN) for a crystal of CrAgRh2 relaxed with PBEsol.

The total energy comes out at -29.059 eV per atom.

The space group is P4mm (No. 99) and the conventional cell measures 3.171, 3.171 and 5.661 Å, with angles of 90.00, 90.00 and 90.00 degrees. The distinct sites, in fractional coordinates, are Cr at (0.000, 0.000, 0.000), Ag at (0.500, 0.500, 0.718), Rh at (0.000, 0.000, 0.448) and Rh at (0.500, 0.500, 0.194).

3.
Density functional theory data (SCAN) for a crystal of CrAgRh2 relaxed with PBEsol.

The total energy comes out at -29.280 eV per atom.

The space group is P4/mmm (No. 123) and the conventional cell measures 2.692, 2.692 and 7.540 Å, with angles of 90.00, 90.00 and 90.00 degrees. The distinct sites, in fractional coordinates, are Cr at (0.000, 0.000, 0.000), Ag at (0.000, 0.000, 0.500) and Rh at (0.500, 0.500, 0.219).

The records above yield Fermi-level density of states values of 8.5 5.1 4.2 states/eV per cell, respectively.